This record from the Alexandria database describes crystalline CdGa4NiO8 at its relaxed geometry. The functional is GGA+U.

Calculated values
E_tot = -5.5576 eV per atom
Symmetry = R3m
Total magnetization = 2.00 μB per cell

Cell: 6.064 6.064 6.064 Å, 60.05 60.05 60.05°
Sites, in units of the cell vectors:
Cd (0.000, 0.000, 0.000)
Ga (0.113, 0.625, 0.625)
Ga (0.242, 0.242, 0.242)
Ga (0.625, 0.113, 0.625)
Ga (0.625, 0.625, 0.113)
Ni (0.623, 0.623, 0.623)
O (0.374, 0.374, 0.849)
O (0.374, 0.849, 0.374)
O (0.377, 0.377, 0.377)
O (0.426, 0.859, 0.859)
O (0.849, 0.374, 0.374)
O (0.857, 0.857, 0.857)
O (0.859, 0.426, 0.859)
O (0.859, 0.859, 0.426)